The following is a DFT calculation (PBE) of a geometry-optimized La3InO structure.

Cell lengths 6.878, 12.248, 7.452 Å; angles 90.00, 90.00, 90.00 degrees
Space group Cmcm (No. 63)
Symmetry-distinct sites (fractional):
La 0.000 0.000 0.000 x4
La 0.230 0.273 0.250 x8
In 0.000 0.462 0.750 x4
O 0.000 0.120 0.750 x4

Properties
Formation energy from raw total energies in meV per atom: -1106
Size of the total moment in Bohr magnetons per cell: 0.00
Electronic total energy in eV/atom: -5.60